Arrangement a

SnMo2I: optimized geometry, PBE-GGA.

Structure (CIF):
```
data_SnMo2I
_symmetry_space_group_name_H-M 'I -4 2 d'
_symmetry_Int_Tables_number 122
_symmetry_space_group_name_Hall 'I -4 2bw'
_cell_length_a 6.393
_cell_length_b 6.393
_cell_length_c 11.373
_cell_angle_alpha 90.00
_cell_angle_beta 90.00
_cell_angle_gamma 90.00
loop_
_atom_site_label
_atom_site_fract_x
_atom_site_fract_y
_atom_site_fract_z
Sn1 0.000 0.000 0.000
Mo1 0.245 0.250 0.625
I1 0.000 0.000 0.500
```

Summary:
Magnetic moment (μB per atom): 0.761

=====

Arrangement b

SnMo2I: optimized geometry, PBE-GGA.

Structure (CIF):
```
data_SnMo2I
_symmetry_space_group_name_H-M 'F m -3 m'
_symmetry_Int_Tables_number 225
_symmetry_space_group_name_Hall '-F 4 2 3'
_cell_length_a 6.691
_cell_length_b 6.691
_cell_length_c 6.691
_cell_angle_alpha 90.00
_cell_angle_beta 90.00
_cell_angle_gamma 90.00
loop_
_atom_site_label
_atom_site_fract_x
_atom_site_fract_y
_atom_site_fract_z
Sn1 0.000 0.000 0.000
Mo1 0.250 0.250 0.250
I1 0.000 0.000 0.500
```

Summary:
Magnetic moment (μB per atom): 0.000

=====

Last place for stability: arrangement a

=====

Arrangement a

SnTeMoI2: optimized geometry, PBE-GGA.

Structure (CIF):
```
data_SnTeMoI2
_symmetry_space_group_name_H-M 'P 4/m m m'
_symmetry_Int_Tables_number 123
_symmetry_space_group_name_Hall '-P 4 2'
_cell_length_a 5.544
_cell_length_b 5.544
_cell_length_c 5.532
_cell_angle_alpha 90.00
_cell_angle_beta 90.00
_cell_angle_gamma 90.00
loop_
_atom_site_label
_atom_site_fract_x
_atom_site_fract_y
_atom_site_fract_z
Sn1 0.000 0.000 0.000
Te1 0.500 0.500 0.000
Mo1 0.500 0.500 0.500
I1 0.000 0.500 0.500
```

Summary:
Magnetic moment (μB per atom): 0.710

=====

Arrangement b

SnTeMoI2: optimized geometry, PBE-GGA.

Structure (CIF):
```
data_SnTeMoI2
_symmetry_space_group_name_H-M 'P 4/m m m'
_symmetry_Int_Tables_number 123
_symmetry_space_group_name_Hall '-P 4 2'
_cell_length_a 5.910
_cell_length_b 5.910
_cell_length_c 5.885
_cell_angle_alpha 90.00
_cell_angle_beta 90.00
_cell_angle_gamma 90.00
loop_
_atom_site_label
_atom_site_fract_x
_atom_site_fract_y
_atom_site_fract_z
Sn1 0.000 0.000 0.000
Te1 0.000 0.000 0.500
Mo1 0.500 0.500 0.500
I1 0.000 0.500 0.000
```

Summary:
Magnetic moment (μB per atom): 0.910

=====

Last place for stability: arrangement b

=====

Arrangement a

TaMo3I: optimized geometry, PBE-GGA.

Structure (CIF):
```
data_TaMo3I
_symmetry_space_group_name_H-M 'P m -3 m'
_symmetry_Int_Tables_number 221
_symmetry_space_group_name_Hall '-P 4 2 3'
_cell_length_a 4.780
_cell_length_b 4.780
_cell_length_c 4.780
_cell_angle_alpha 90.00
_cell_angle_beta 90.00
_cell_angle_gamma 90.00
loop_
_atom_site_label
_atom_site_fract_x
_atom_site_fract_y
_atom_site_fract_z
Ta1 0.000 0.000 0.000
Mo1 0.000 0.500 0.500
I1 0.500 0.500 0.500
```

Summary:
Magnetic moment (μB per atom): 0.000

=====

Arrangement b

TaMo3I: optimized geometry, PBE-GGA.

Structure (CIF):
```
data_TaMo3I
_symmetry_space_group_name_H-M 'P m -3 m'
_symmetry_Int_Tables_number 221
_symmetry_space_group_name_Hall '-P 4 2 3'
_cell_length_a 4.885
_cell_length_b 4.885
_cell_length_c 4.885
_cell_angle_alpha 90.00
_cell_angle_beta 90.00
_cell_angle_gamma 90.00
loop_
_atom_site_label
_atom_site_fract_x
_atom_site_fract_y
_atom_site_fract_z
Ta1 0.000 0.000 0.000
Mo1 0.000 0.000 0.500
I1 0.500 0.500 0.500
```

Summary:
Magnetic moment (μB per atom): 0.365

=====

Last place for stability: arrangement a

=====

Arrangement a

Ta2MoI: optimized geometry, PBE-GGA.

Structure (CIF):
```
data_Ta2MoI
_symmetry_space_group_name_H-M 'F m -3 m'
_symmetry_Int_Tables_number 225
_symmetry_space_group_name_Hall '-F 4 2 3'
_cell_length_a 6.705
_cell_length_b 6.705
_cell_length_c 6.705
_cell_angle_alpha 90.00
_cell_angle_beta 90.00
_cell_angle_gamma 90.00
loop_
_atom_site_label
_atom_site_fract_x
_atom_site_fract_y
_atom_site_fract_z
Ta1 0.250 0.250 0.250
Mo1 0.000 0.000 0.000
I1 0.000 0.000 0.500
```

Summary:
Magnetic moment (μB per atom): 0.000

=====

Arrangement b

Ta2MoI: optimized geometry, PBE-GGA.

Structure (CIF):
```
data_Ta2MoI
_symmetry_space_group_name_H-M 'I -4 2 d'
_symmetry_Int_Tables_number 122
_symmetry_space_group_name_Hall 'I -4 2bw'
_cell_length_a 4.040
_cell_length_b 4.040
_cell_length_c 19.854
_cell_angle_alpha 90.00
_cell_angle_beta 90.00
_cell_angle_gamma 90.00
loop_
_atom_site_label
_atom_site_fract_x
_atom_site_fract_y
_atom_site_fract_z
Ta1 0.248 0.250 0.125
Mo1 0.000 0.000 0.000
I1 0.000 0.000 0.500
```

Summary:
Magnetic moment (μB per atom): 0.146

=====

Last place for stability: arrangement b

=====

Arrangement a

TaMoI2: optimized geometry, PBE-GGA.

Structure (CIF):
```
data_TaMoI2
_symmetry_space_group_name_H-M 'F m -3 m'
_symmetry_Int_Tables_number 225
_symmetry_space_group_name_Hall '-F 4 2 3'
_cell_length_a 6.820
_cell_length_b 6.820
_cell_length_c 6.820
_cell_angle_alpha 90.00
_cell_angle_beta 90.00
_cell_angle_gamma 90.00
loop_
_atom_site_label
_atom_site_fract_x
_atom_site_fract_y
_atom_site_fract_z
Ta1 0.000 0.000 0.000
Mo1 0.000 0.000 0.500
I1 0.250 0.250 0.250
```

Summary:
Magnetic moment (μB per atom): 0.000

=====

Arrangement b

TaMoI2: optimized geometry, PBE-GGA.

Structure (CIF):
```
data_TaMoI2
_symmetry_space_group_name_H-M 'I -4 2 d'
_symmetry_Int_Tables_number 122
_symmetry_space_group_name_Hall 'I -4 2bw'
_cell_length_a 4.671
_cell_length_b 4.671
_cell_length_c 17.518
_cell_angle_alpha 90.00
_cell_angle_beta 90.00
_cell_angle_gamma 90.00
loop_
_atom_site_label
_atom_site_fract_x
_atom_site_fract_y
_atom_site_fract_z
Ta1 0.000 0.000 0.000
Mo1 0.000 0.000 0.500
I1 0.245 0.250 0.625
```

Summary:
Magnetic moment (μB per atom): 0.207

=====

Last place for stability: arrangement b

=====

Arrangement a

TaMo2I: optimized geometry, PBE-GGA.

Structure (CIF):
```
data_TaMo2I
_symmetry_space_group_name_H-M 'I -4 2 d'
_symmetry_Int_Tables_number 122
_symmetry_space_group_name_Hall 'I -4 2bw'
_cell_length_a 3.954
_cell_length_b 3.954
_cell_length_c 20.134
_cell_angle_alpha 90.00
_cell_angle_beta 90.00
_cell_angle_gamma 90.00
loop_
_atom_site_label
_atom_site_fract_x
_atom_site_fract_y
_atom_site_fract_z
Ta1 0.000 0.000 0.000
Mo1 0.219 0.250 0.125
I1 0.000 0.000 0.500
```

Summary:
Magnetic moment (μB per atom): 0.000

=====

Arrangement b

TaMo2I: optimized geometry, PBE-GGA.

Structure (CIF):
```
data_TaMo2I
_symmetry_space_group_name_H-M 'F m -3 m'
_symmetry_Int_Tables_number 225
_symmetry_space_group_name_Hall '-F 4 2 3'
_cell_length_a 6.589
_cell_length_b 6.589
_cell_length_c 6.589
_cell_angle_alpha 90.00
_cell_angle_beta 90.00
_cell_angle_gamma 90.00
loop_
_atom_site_label
_atom_site_fract_x
_atom_site_fract_y
_atom_site_fract_z
Ta1 0.000 0.000 0.000
Mo1 0.250 0.250 0.250
I1 0.000 0.000 0.500
```

Summary:
Magnetic moment (μB per atom): 0.000

=====

Last place for stability: arrangement a

=====

Arrangement a

TcMoI2: optimized geometry, PBE-GGA.

Structure (CIF):
```
data_TcMoI2
_symmetry_space_group_name_H-M 'F m -3 m'
_symmetry_Int_Tables_number 225
_symmetry_space_group_name_Hall '-F 4 2 3'
_cell_length_a 6.745
_cell_length_b 6.745
_cell_length_c 6.745
_cell_angle_alpha 90.00
_cell_angle_beta 90.00
_cell_angle_gamma 90.00
loop_
_atom_site_label
_atom_site_fract_x
_atom_site_fract_y
_atom_site_fract_z
Tc1 0.000 0.000 0.000
Mo1 0.000 0.000 0.500
I1 0.250 0.250 0.250
```

Summary:
Magnetic moment (μB per atom): 0.000

=====

Arrangement b

TcMoI2: optimized geometry, PBE-GGA.

Structure (CIF):
```
data_TcMoI2
_symmetry_space_group_name_H-M 'I -4 2 d'
_symmetry_Int_Tables_number 122
_symmetry_space_group_name_Hall 'I -4 2bw'
_cell_length_a 6.024
_cell_length_b 6.024
_cell_length_c 12.016
_cell_angle_alpha 90.00
_cell_angle_beta 90.00
_cell_angle_gamma 90.00
loop_
_atom_site_label
_atom_site_fract_x
_atom_site_fract_y
_atom_site_fract_z
Tc1 0.000 0.000 0.000
Mo1 0.000 0.000 0.500
I1 0.245 0.250 0.125
```

Summary:
Magnetic moment (μB per atom): 0.000

=====

Last place for stability: arrangement b

=====

Arrangement a

Tc2MoI: optimized geometry, PBE-GGA.

Structure (CIF):
```
data_Tc2MoI
_symmetry_space_group_name_H-M 'I -4 2 d'
_symmetry_Int_Tables_number 122
_symmetry_space_group_name_Hall 'I -4 2bw'
_cell_length_a 5.734
_cell_length_b 5.734
_cell_length_c 11.818
_cell_angle_alpha 90.00
_cell_angle_beta 90.00
_cell_angle_gamma 90.00
loop_
_atom_site_label
_atom_site_fract_x
_atom_site_fract_y
_atom_site_fract_z
Tc1 0.221 0.250 0.125
Mo1 0.000 0.000 0.000
I1 0.000 0.000 0.500
```

Summary:
Magnetic moment (μB per atom): 0.000

=====

Arrangement b

Tc2MoI: optimized geometry, PBE-GGA.

Structure (CIF):
```
data_Tc2MoI
_symmetry_space_group_name_H-M 'F m -3 m'
_symmetry_Int_Tables_number 225
_symmetry_space_group_name_Hall '-F 4 2 3'
_cell_length_a 6.442
_cell_length_b 6.442
_cell_length_c 6.442
_cell_angle_alpha 90.00
_cell_angle_beta 90.00
_cell_angle_gamma 90.00
loop_
_atom_site_label
_atom_site_fract_x
_atom_site_fract_y
_atom_site_fract_z
Tc1 0.250 0.250 0.250
Mo1 0.000 0.000 0.000
I1 0.000 0.000 0.500
```

Summary:
Magnetic moment (μB per atom): 0.000

=====

Last place for stability: arrangement a